Mg2TeRu | GGA-PBE | optimized geometry

The structure in extended XYZ format:
```
4
Lattice="-1.908 -2.409 1.879 3.056 -1.533 1.137 0.063 3.531 4.590" Properties=species:S:1:pos:R:3 pbc="T T T"
Ru 0.590 -1.088 2.656
Mg 0.001 0.083 0.108
Te 0.622 0.677 4.951
Mg 0.030 1.682 2.187
```

Results
* energy: -16.0 eV/f.u.
* space-group type: P4/mmm, No. 123